(1)
Computed, not measured: a geometry-optimized Ba2SbHAu structure at the GGA-PBE level of DFT.

Calculated values
- volume (Å³/cell) = 143.3
- SG = No. 123
- N(E_F) (states/eV/f.u.) = 0.59
- total magnetization (μB per formula unit) = 0.00

a = 5.863 Å, b = 5.863 Å, c = 4.170 Å
α = 90.00°, β = 90.00°, γ = 90.00°
Fractional positions:
Ba (0.000, 0.500, 0.000)
Ba (0.500, 0.000, 0.000)
Sb (0.000, 0.000, 0.500)
H (0.500, 0.500, 0.000)
Au (0.500, 0.500, 0.500)

(2)
Computed, not measured: a geometry-optimized Ba2H2AuSe2 structure at the GGA-PBE level of DFT.

Calculated values
- volume (Å³/cell) = 161.3
- SG = No. 139
- N(E_F) (states/eV/f.u.) = 1.94
- total magnetization (μB per formula unit) = 0.00

a = 8.636 Å, b = 8.636 Å, c = 8.636 Å
α = 149.93°, β = 149.93°, γ = 43.04°
Fractional positions:
Ba (0.127, 0.127, 0.000)
Ba (0.873, 0.873, 0.000)
H (0.000, 0.500, 0.500)
H (0.500, 0.000, 0.500)
Au (0.500, 0.500, 0.000)
Se (0.337, 0.337, 0.000)
Se (0.663, 0.663, 0.000)

(3)
Computed, not measured: a geometry-optimized Ba3Si2H2Au4 structure at the GGA-PBE level of DFT.

Calculated values
- volume (Å³/cell) = 291.1
- SG = No. 139
- N(E_F) (states/eV/f.u.) = 1.75
- total magnetization (μB per formula unit) = 0.00

a = 14.563 Å, b = 14.563 Å, c = 14.563 Å
α = 162.12°, β = 162.12°, γ = 25.39°
Fractional positions:
Ba (0.000, 0.000, 0.000)
Ba (0.188, 0.188, 0.000)
Ba (0.812, 0.812, 0.000)
Si (0.434, 0.434, 0.000)
Si (0.566, 0.566, 0.000)
H (0.282, 0.282, 0.000)
H (0.718, 0.718, 0.000)
Au (0.097, 0.597, 0.500)
Au (0.403, 0.903, 0.500)
Au (0.597, 0.097, 0.500)
Au (0.903, 0.403, 0.500)

(4)
Computed, not measured: a geometry-optimized BaSiHAu2 structure at the GGA-PBE level of DFT.

Calculated values
- volume (Å³/cell) = 108.9
- SG = No. 123
- N(E_F) (states/eV/f.u.) = 1.20
- total magnetization (μB per formula unit) = 0.00

a = 5.053 Å, b = 5.053 Å, c = 4.266 Å
α = 90.00°, β = 90.00°, γ = 90.00°
Fractional positions:
Ba (0.000, 0.000, 0.000)
Si (0.500, 0.500, 0.500)
H (0.500, 0.500, 0.000)
Au (0.000, 0.500, 0.500)
Au (0.500, 0.000, 0.500)

(5)
Computed, not measured: a geometry-optimized BaSnHAu2 structure at the GGA-PBE level of DFT.

Calculated values
- volume (Å³/cell) = 126.5
- SG = No. 123
- N(E_F) (states/eV/f.u.) = 1.46
- total magnetization (μB per formula unit) = 0.00

a = 5.503 Å, b = 5.503 Å, c = 4.178 Å
α = 90.00°, β = 90.00°, γ = 90.00°
Fractional positions:
Ba (0.000, 0.000, 0.000)
Sn (0.500, 0.500, 0.500)
H (0.500, 0.500, 0.000)
Au (0.000, 0.500, 0.500)
Au (0.500, 0.000, 0.500)

(6)
Computed, not measured: a geometry-optimized Ba2SnH6Au structure at the GGA-PBE level of DFT.

Calculated values
- volume (Å³/cell) = 155.6
- SG = No. 12
- N(E_F) (states/eV/f.u.) = 1.48
- total magnetization (μB per formula unit) = 0.00

a = 5.818 Å, b = 5.818 Å, c = 6.128 Å
α = 117.56°, β = 117.56°, γ = 91.16°
Fractional positions:
Ba (0.250, 0.750, 0.000)
Ba (0.750, 0.250, 0.000)
Sn (0.000, 0.000, 0.500)
H (0.273, 0.727, 0.500)
H (0.275, 0.275, 0.503)
H (0.311, 0.311, 0.122)
H (0.689, 0.689, 0.878)
H (0.725, 0.725, 0.497)
H (0.727, 0.273, 0.500)
Au (0.500, 0.500, 0.500)

(7)
Computed, not measured: a geometry-optimized Ba2SrHAu structure at the GGA-PBE level of DFT.

Calculated values
- volume (Å³/cell) = 162.5
- SG = No. 123
- N(E_F) (states/eV/f.u.) = 3.70
- total magnetization (μB per formula unit) = 0.00

a = 5.674 Å, b = 5.674 Å, c = 5.048 Å
α = 90.00°, β = 90.00°, γ = 90.00°
Fractional positions:
Ba (0.000, 0.500, 0.000)
Ba (0.500, 0.000, 0.000)
Sr (0.000, 0.000, 0.500)
H (0.000, 0.000, 0.000)
Au (0.500, 0.500, 0.500)

(8)
Computed, not measured: a geometry-optimized BaSrH6Au2 structure at the GGA-PBE level of DFT.

Calculated values
- volume (Å³/cell) = 335.1
- SG = No. 15
- N(E_F) (states/eV/f.u.) = 0.10
- total magnetization (μB per formula unit) = 0.00

a = 7.039 Å, b = 7.039 Å, c = 7.150 Å
α = 101.60°, β = 101.60°, γ = 96.93°
Fractional positions:
Ba (0.155, 0.845, 0.750)
Ba (0.845, 0.155, 0.250)
Sr (0.417, 0.583, 0.250)
Sr (0.583, 0.417, 0.750)
H (0.062, 0.504, 0.214)
H (0.188, 0.214, 0.107)
H (0.214, 0.188, 0.607)
H (0.321, 0.551, 0.895)
H (0.449, 0.679, 0.605)
H (0.496, 0.938, 0.286)
H (0.504, 0.062, 0.714)
H (0.551, 0.321, 0.395)
H (0.679, 0.449, 0.105)
H (0.786, 0.812, 0.393)
H (0.812, 0.786, 0.893)
H (0.938, 0.496, 0.786)
Au (0.095, 0.352, 0.718)
Au (0.352, 0.095, 0.218)
Au (0.648, 0.905, 0.782)
Au (0.905, 0.648, 0.282)

Number 1: uncorrected energy -18.03 eV/cell. Number 2: uncorrected energy -27.14 eV/cell. Number 3: uncorrected energy -40.59 eV/cell. Number 4: uncorrected energy -18.50 eV/cell. Number 5: uncorrected energy -17.39 eV/cell. Number 6: uncorrected energy -33.17 eV/cell. Number 7: uncorrected energy -13.49 eV/cell. Number 8: uncorrected energy -67.44 eV/cell.